GGA-PBE CrRuCl3, optimized geometry; energy above the most stable polymorph in this dataset = 0 meV per atom; raw formation energy = 220 meV per atom; total DFT energy (no corrections) = -4.668 eV/atom
1.0
4.800 0.000 0.000
0.000 4.800 0.000
0.000 0.000 4.800
Cl Cr Ru
3 1 1
Direct
0.000 0.000 0.500
0.500 0.000 0.000
0.000 0.500 0.000
0.500 0.500 0.500
0.000 0.000 0.000

=====

GGA-PBE CrRuCl2, optimized geometry; energy above the most stable polymorph in this dataset = 322 meV per atom; raw formation energy = 107 meV per atom; total DFT energy (no corrections) = -5.542 eV/atom
1.0
-0.410 7.668 -4.131
-4.512 6.224 -4.114
2.013 -5.980 6.019
Ru Cl Cr
1 2 1
Direct
0.332 0.832 0.500
0.735 0.235 0.500
0.011 0.011 0.000
0.423 0.423 0.000

=====

GGA-PBE CrRuCl2, optimized geometry; energy above the most stable polymorph in this dataset = 894 meV per atom; raw formation energy = 679 meV per atom; total DFT energy (no corrections) = -4.969 eV/atom
1.0
2.126 7.822 1.462
4.776 6.432 1.911
3.920 7.189 -0.891
Cr Cl Ru
1 2 1
Direct
0.000 0.000 0.000
0.911 0.911 0.911
0.089 0.089 0.089
0.500 0.500 0.500

=====

GGA-PBE CrRuCl2, optimized geometry; energy above the most stable polymorph in this dataset = 894 meV per atom; raw formation energy = 679 meV per atom; total DFT energy (no corrections) = -4.969 eV/atom
1.0
-1.585 -2.029 -3.788
-3.701 -2.690 0.220
-3.952 1.385 -1.857
Cl Cr Ru
2 1 1
Direct
0.250 0.250 0.250
0.000 0.000 0.000
0.500 0.500 0.500
0.750 0.750 0.750

=====

GGA-PBE Cr3RuCl, optimized geometry; energy above the most stable polymorph in this dataset = 103 meV per atom; raw formation energy = 1106 meV per atom; total DFT energy (no corrections) = -6.893 eV/atom
1.0
-1.780 -3.582 -2.622
2.475 -3.145 2.617
-3.685 -0.383 3.024
Ru Cr Cl
1 3 1
Direct
0.000 0.000 0.000
0.000 0.000 0.500
0.500 0.000 0.000
0.000 0.500 0.000
0.500 0.500 0.500

=====

GGA-PBE Cr2RuCl2, optimized geometry; energy above the most stable polymorph in this dataset = 240 meV per atom; raw formation energy = 887 meV per atom; total DFT energy (no corrections) = -5.556 eV/atom
1.0
6.905 0.000 0.000
0.000 6.905 0.000
0.000 0.000 2.763
Cr Ru Cl
4 2 4
Direct
0.169 0.669 0.500
0.669 0.831 0.500
0.331 0.169 0.500
0.831 0.331 0.500
0.000 0.000 0.000
0.500 0.500 0.000
0.640 0.140 0.000
0.140 0.360 0.000
0.860 0.640 0.000
0.360 0.860 0.000

=====

GGA-PBE CrRuCl2, optimized geometry; energy above the most stable polymorph in this dataset = 1086 meV per atom; raw formation energy = 871 meV per atom; total DFT energy (no corrections) = -4.777 eV/atom
1.0
0.000 3.026 3.026
3.026 0.000 3.026
3.026 3.026 0.000
Cl Cr Ru
2 1 1
Direct
0.250 0.250 0.250
0.750 0.750 0.750
0.000 0.000 0.000
0.500 0.500 0.500

=====

GGA-PBE CrRuCl2, optimized geometry; energy above the most stable polymorph in this dataset = 880 meV per atom; raw formation energy = 665 meV per atom; total DFT energy (no corrections) = -4.983 eV/atom
1.0
-3.928 -2.041 2.874
3.349 -0.817 3.996
-1.352 3.205 5.273
Cr Ru Cl
2 2 4
Direct
0.250 0.750 0.500
0.500 0.500 0.000
0.000 0.000 0.000
0.750 0.250 0.500
0.603 0.125 0.250
0.375 0.397 0.750
0.147 0.625 0.250
0.875 0.853 0.750

=====

GGA-PBE Cr2RuCl2, optimized geometry; energy above the most stable polymorph in this dataset = 0 meV per atom; raw formation energy = 647 meV per atom; total DFT energy (no corrections) = -5.796 eV/atom
1.0
-6.567 1.419 -3.036
-1.304 -7.234 -0.561
-1.351 0.016 2.930
Ru Cl Cr
2 4 4
Direct
0.500 0.500 0.000
0.000 0.000 0.000
0.139 0.639 0.500
0.639 0.861 0.500
0.861 0.361 0.500
0.361 0.139 0.500
0.318 0.818 0.000
0.182 0.318 0.000
0.682 0.182 0.000
0.818 0.682 0.000

=====

GGA-PBE CrRuSCl2, optimized geometry; energy above the most stable polymorph in this dataset = 0 meV per atom; raw formation energy = 241 meV per atom; total DFT energy (no corrections) = -5.103 eV/atom
1.0
4.985 0.000 0.000
0.000 4.985 0.000
0.000 0.000 4.393
Cl Ru S Cr
2 1 1 1
Direct
0.000 0.500 0.000
0.500 0.000 0.000
0.000 0.000 0.000
0.000 0.000 0.500
0.500 0.500 0.500

=====

GGA-PBE CrRuS2Cl, optimized geometry; energy above the most stable polymorph in this dataset = 0 meV per atom; raw formation energy = 662 meV per atom; total DFT energy (no corrections) = -5.138 eV/atom
1.0
4.428 0.000 0.000
0.000 4.428 0.000
0.000 0.000 4.739
S Cl Ru Cr
2 1 1 1
Direct
0.500 0.000 0.000
0.000 0.500 0.000
0.000 0.000 0.500
0.500 0.500 0.500
0.000 0.000 0.000

=====

GGA-PBE CrRuS2Cl, optimized geometry; energy above the most stable polymorph in this dataset = 232 meV per atom; raw formation energy = 894 meV per atom; total DFT energy (no corrections) = -4.906 eV/atom
1.0
4.589 0.000 0.000
0.000 4.589 0.000
0.000 0.000 4.757
Cr S Ru Cl
1 2 1 1
Direct
0.500 0.500 0.500
0.500 0.000 0.000
0.000 0.500 0.000
0.000 0.000 0.000
0.000 0.000 0.500